(1)
LiSmAgPd: optimized geometry, GGA-PBE.

Cell lengths 4.8958, 4.8958, 4.8958 Å; angles 60.00, 60.00, 60.00 degrees
Fractional positions:
Li 0.0000 0.0000 0.0000
Sm 0.5000 0.5000 0.5000
Ag 0.7500 0.7500 0.7500
Pd 0.2500 0.2500 0.2500

Calculated values
space group	F-43m
uncorrected energy	-4.0577	eV per atom
calculated density	7.4	g/cm³



(2)
GdHfCd2: optimized geometry, GGA-PBE.

Cell lengths 5.1403, 5.1403, 5.1403 Å; angles 60.00, 60.00, 60.00 degrees
Fractional positions:
Gd 0.0000 0.0000 0.0000
Hf 0.5000 0.5000 0.5000
Cd 0.2500 0.2500 0.2500
Cd 0.7500 0.7500 0.7500

Calculated values
space group	Fm-3m
offset from the most stable computed form	0.048	eV/atom
calculated density	9.7	g/cm³



(3)
CaCeCu: optimized geometry, GGA-PBE.

Cell lengths 3.5593, 3.5695, 12.1956 Å; angles 90.02, 90.01, 90.37 degrees
Fractional positions:
Ca 0.2495 0.2492 0.3702
Ca 0.7505 0.7508 0.6298
Ce 0.2491 0.2482 0.0858
Ce 0.7509 0.7518 0.9142
Cu 0.2508 0.2519 0.7865
Cu 0.7492 0.7481 0.2135

Calculated values
space group	P-1
offset from the most stable computed form	0.000	eV/atom
calculated density	5.2	g/cm³